DFT (GGA-PBEsol) results for a relaxed structure of MgSn3.

Cell: 5.227 5.227 5.227 Å, 60.00 60.00 60.00°
Positions (direct):
Mg  0.000  0.000  0.000
Sn  0.250  0.250  0.250
Sn  0.500  0.500  0.500
Sn  0.750  0.750  0.750

- ΔH_f (0 K): -0.013 eV per atom

DFT (GGA-PBEsol) results for a relaxed structure of MgSn2.

Cell: 7.203 7.203 6.434 Å, 104.02 104.02 27.07°
Positions (direct):
Mg  0.160  0.160  0.082
Mg  0.840  0.840  0.918
Sn  0.177  0.177  0.611
Sn  0.495  0.495  0.744
Sn  0.505  0.505  0.256
Sn  0.823  0.823  0.389

- ΔH_f (0 K): -0.067 eV per atom

DFT (GGA-PBEsol) results for a relaxed structure of Mg5Sn.

Cell: 6.084 6.084 6.084 Å, 53.56 53.56 53.56°
Positions (direct):
Mg  0.000  0.666  0.334
Mg  0.167  0.167  0.167
Mg  0.334  0.000  0.666
Mg  0.666  0.334  0.000
Mg  0.833  0.833  0.833
Sn  0.500  0.500  0.500

- ΔH_f (0 K): -0.067 eV per atom
- Offset from the most stable computed form: 0.002 eV/atom

DFT (GGA-PBEsol) results for a relaxed structure of Mg9Sn5.

Cell: 8.790 8.790 8.790 Å, 96.98 96.98 96.98°
Positions (direct):
Mg  0.019  0.090  0.392
Mg  0.073  0.762  0.165
Mg  0.075  0.673  0.764
Mg  0.090  0.392  0.019
Mg  0.097  0.496  0.414
Mg  0.165  0.073  0.762
Mg  0.341  0.424  0.741
Mg  0.392  0.019  0.090
Mg  0.414  0.097  0.496
Mg  0.424  0.741  0.341
Mg  0.445  0.818  0.747
Mg  0.496  0.414  0.097
Mg  0.673  0.764  0.075
Mg  0.741  0.341  0.424
Mg  0.747  0.445  0.818
Mg  0.762  0.165  0.073
Mg  0.764  0.075  0.673
Mg  0.818  0.747  0.445
Sn  0.006  0.332  0.669
Sn  0.050  0.050  0.050
Sn  0.169  0.831  0.506
Sn  0.286  0.286  0.286
Sn  0.332  0.669  0.006
Sn  0.506  0.169  0.831
Sn  0.550  0.550  0.550
Sn  0.669  0.006  0.332
Sn  0.786  0.786  0.786
Sn  0.831  0.506  0.169

- ΔH_f (0 K): -0.212 eV per atom

ΔH_f (0 K) of number 4 (Mg9Sn5)?
-0.212 eV per atom

Number 3 is which compound?
Mg5Sn

What is the ΔH_f (0 K) in the first record?
-0.013 eV per atom